1.
DFT (PBE) results for crystalline La5HoTh2 at its relaxed geometry.

Its formation energy is 0.99 eV per formula unit.

Cell lengths 3.621, 8.941, 18.601 Å; angles 90.00, 69.58, 90.00 degrees
Fractional positions:
Th 0.661 0.486 0.665
La 0.622 0.190 0.199
Th 0.339 0.486 0.335
La 0.378 0.190 0.801
Th 0.839 0.514 0.835
Ho 0.500 0.192 0.000
La 0.122 0.810 0.699
La 0.815 0.150 0.393
La 0.500 0.457 0.500
La 0.000 0.543 0.000
La 0.878 0.810 0.301
Ho 0.000 0.808 0.500
La 0.685 0.850 0.107
La 0.315 0.850 0.893
La 0.185 0.150 0.607
Th 0.161 0.514 0.165

=====

2.
DFT (PBE) results for crystalline LiBi2Pd4 at its relaxed geometry.

Its formation energy is -1.48 eV per formula unit.

Cell lengths 4.657, 7.194, 8.788 Å; angles 90.00, 90.00, 108.88 degrees
Fractional positions:
Bi 0.889 0.777 0.568
Li 0.330 0.660 0.250
Bi 0.889 0.777 0.932
Bi 0.111 0.223 0.068
Pd 0.282 0.564 0.906
Li 0.670 0.340 0.750
Pd 0.073 0.146 0.750
Pd 0.282 0.564 0.594
Pd 0.718 0.436 0.094
Pd 0.500 0.000 0.500
Bi 0.111 0.223 0.432
Pd 0.927 0.854 0.250
Pd 0.718 0.436 0.406
Pd 0.500 0.000 0.000

=====

3.
DFT (PBE) results for crystalline LiHPd2Pt at its relaxed geometry.

The energy above the most stable polymorph in this dataset comes out at 0.004 eV per atom.

Cell lengths 4.028, 4.028, 3.860 Å; angles 90.00, 90.00, 90.00 degrees
Fractional positions:
Li 0.500 0.500 0.500
Pt 0.000 0.000 0.500
Pd 0.500 0.000 0.000
H 0.000 0.000 0.000
Pd 0.000 0.500 0.000

=====

4.
DFT (PBE) results for crystalline Mn2CrSe at its relaxed geometry.

The energy relative to the elements, uncorrected comes out at 363 meV per atom.

Cell lengths 6.839, 6.839, 5.505 Å; angles 51.60, 51.60, 90.00 degrees
Fractional positions:
Cr 0.500 0.500 0.000
Se 0.750 0.250 0.500
Mn 0.125 0.625 0.250
Mn 0.375 0.375 0.750
Mn 0.625 0.125 0.250
Cr 0.250 0.750 0.500
Mn 0.875 0.875 0.750
Se 0.000 0.000 0.000

=====

5.
DFT (PBE) results for crystalline Er3Si3Au2 at its relaxed geometry.

The energy relative to the elements, uncorrected comes out at -778 meV per atom.

Cell lengths 4.266, 5.702, 14.070 Å; angles 90.00, 90.00, 111.97 degrees
Fractional positions:
Si 0.354 0.707 0.250
Si 0.646 0.293 0.750
Si 0.600 0.200 0.041
Er 0.081 0.162 0.885
Er 0.638 0.275 0.250
Er 0.919 0.838 0.385
Er 0.919 0.838 0.115
Si 0.600 0.200 0.459
Au 0.210 0.420 0.096
Au 0.210 0.420 0.404
Er 0.362 0.725 0.750
Si 0.400 0.800 0.541
Er 0.081 0.162 0.615
Au 0.790 0.580 0.596
Au 0.790 0.580 0.904
Si 0.400 0.800 0.959

=====

6.
DFT (PBE) results for crystalline Bi2SeS2 at its relaxed geometry.

The energy relative to the elements, uncorrected comes out at -323 meV per atom.

Cell lengths 4.133, 5.585, 7.524 Å; angles 111.79, 105.94, 90.00 degrees
Fractional positions:
Bi 0.658 0.158 0.317
Se 0.000 0.000 0.000
S 0.699 0.699 0.397
S 0.301 0.301 0.603
Bi 0.342 0.842 0.683

=====

7.
DFT (PBE) results for crystalline YSc2TlO at its relaxed geometry.

The energy relative to the elements, uncorrected comes out at 1315 meV per atom. The energy above the most stable polymorph in this dataset comes out at 2.684 eV per atom.

Cell lengths 5.288, 5.614, 5.288 Å; angles 90.00, 90.00, 90.00 degrees
Fractional positions:
O 0.500 0.500 0.500
Tl 0.000 0.500 0.000
Y 0.000 0.000 0.000
Sc 0.500 0.000 0.000
Sc 0.000 0.000 0.500

=====

8.
DFT (PBE) results for crystalline Tb4Al5Si2 at its relaxed geometry.

The energy relative to the elements, uncorrected comes out at -519 meV per atom.

Cell lengths 4.352, 6.867, 8.043 Å; angles 87.02, 90.00, 90.00 degrees
Fractional positions:
Si 0.000 0.919 0.632
Si 0.000 0.081 0.368
Tb 0.500 0.240 0.595
Al 0.000 0.862 0.128
Tb 0.500 0.760 0.405
Al 0.000 0.451 0.338
Tb 0.500 0.787 0.864
Al 0.000 0.500 0.000
Tb 0.500 0.213 0.136
Al 0.000 0.549 0.662
Al 0.000 0.138 0.872

=====

9.
DFT (PBE) results for crystalline Na5PdPb2 at its relaxed geometry.

Its formation energy is -1.12 eV per formula unit.

Cell lengths 3.787, 7.724, 14.744 Å; angles 90.00, 90.00, 90.00 degrees
Fractional positions:
Na 0.000 0.523 0.262
Pd 0.000 0.500 0.000
Na 0.000 0.500 0.500
Na 0.000 0.977 0.762
Na 0.500 0.781 0.611
Na 0.000 0.477 0.738
Pb 0.500 0.199 0.609
Pb 0.500 0.801 0.391
Na 0.500 0.219 0.389
Pb 0.500 0.301 0.109
Na 0.500 0.719 0.111
Pb 0.500 0.699 0.891
Na 0.500 0.281 0.889
Na 0.000 0.000 0.000
Na 0.000 0.023 0.238
Pd 0.000 0.000 0.500

=====

10.
DFT (PBE) results for crystalline AlSi2W at its relaxed geometry.

The energy relative to the elements, uncorrected comes out at 89 meV per atom.

Cell lengths 4.114, 3.220, 4.971 Å; angles 71.29, 90.00, 90.00 degrees
Fractional positions:
W 0.000 0.308 0.509
Si 0.000 0.025 0.073
Al 0.500 0.715 0.700
Si 0.500 0.453 0.219

=====

11.
DFT (PBE) results for crystalline TlMo3Br at its relaxed geometry.

The energy relative to the elements, uncorrected comes out at 2822 meV per atom. The energy above the most stable polymorph in this dataset comes out at 1.301 eV per atom.

Cell lengths 5.086, 5.086, 5.086 Å; angles 90.00, 90.00, 90.00 degrees
Fractional positions:
Br 0.500 0.500 0.500
Tl 0.000 0.000 0.000
Mo 0.000 0.500 0.000
Mo 0.500 0.000 0.000
Mo 0.000 0.000 0.500

=====

12.
DFT (PBE) results for crystalline DyHgPd6 at its relaxed geometry.

The energy above the most stable polymorph in this dataset comes out at 0.456 eV per atom. Its formation energy is -0.36 eV per formula unit.

Cell lengths 5.476, 5.476, 5.476 Å; angles 84.52, 84.52, 84.52 degrees
Fractional positions:
Pd 0.468 0.840 0.840
Pd 0.840 0.468 0.840
Pd 0.532 0.160 0.160
Pd 0.160 0.532 0.160
Hg 0.500 0.500 0.500
Pd 0.160 0.160 0.532
Dy 0.000 0.000 0.000
Pd 0.840 0.840 0.468

=====

13.
DFT (PBE) results for crystalline Cr2CuOs at its relaxed geometry.

Its formation energy is 0.91 eV per formula unit.

Cell lengths 4.513, 4.513, 2.634 Å; angles 90.00, 90.00, 110.38 degrees
Fractional positions:
Os 0.000 0.500 0.500
Cr 0.500 0.500 0.000
Cr 0.000 0.000 0.000
Cu 0.500 0.000 0.500

=====

14.
DFT (PBE) results for crystalline ErLuNiGe at its relaxed geometry.

Its formation energy is -2.27 eV per formula unit.

Cell lengths 4.845, 4.845, 4.845 Å; angles 60.00, 60.00, 60.00 degrees
Fractional positions:
Lu 0.500 0.500 0.500
Ni 0.750 0.750 0.750
Er 0.000 0.000 0.000
Ge 0.250 0.250 0.250

=====

15.
DFT (PBE) results for crystalline Dy5YHo2 at its relaxed geometry.

The energy above the most stable polymorph in this dataset comes out at 0.010 eV per atom. Its formation energy is 0.13 eV per formula unit.

Cell lengths 5.003, 7.086, 14.172 Å; angles 90.00, 90.00, 90.00 degrees
Fractional positions:
Dy 0.500 0.251 0.375
Ho 0.500 0.750 0.875
Dy 0.000 0.500 0.251
Dy 0.000 0.000 0.751
Ho 0.500 0.250 0.625
Dy 0.000 0.000 0.000
Y 0.000 0.500 0.000
Ho 0.500 0.750 0.375
Dy 0.000 0.000 0.249
Dy 0.500 0.249 0.875
Dy 0.500 0.751 0.125
Dy 0.000 0.500 0.749
Dy 0.500 0.749 0.625
Y 0.000 0.000 0.500
Ho 0.500 0.250 0.125
Dy 0.000 0.500 0.500

=====

16.
DFT (PBE) results for crystalline Pm5InRh4 at its relaxed geometry.

Its formation energy is -6.37 eV per formula unit.

Cell lengths 3.574, 3.574, 18.120 Å; angles 90.00, 90.00, 90.00 degrees
Fractional positions:
Rh 0.000 0.000 0.405
Pm 0.500 0.500 0.690
Pm 0.500 0.500 0.878
Rh 0.000 0.000 0.786
Pm 0.500 0.500 0.500
In 0.000 0.000 0.000
Pm 0.500 0.500 0.122
Rh 0.000 0.000 0.595
Pm 0.500 0.500 0.310
Rh 0.000 0.000 0.214

=====

17.
DFT (PBE) results for crystalline ScCoRe2 at its relaxed geometry.

The energy above the most stable polymorph in this dataset comes out at 0.022 eV per atom. Its formation energy is -0.22 eV per formula unit.

Cell lengths 3.097, 3.097, 6.417 Å; angles 90.00, 90.00, 90.00 degrees
Fractional positions:
Co 0.500 0.500 0.768
Re 0.000 0.000 0.998
Sc 0.000 0.000 0.512
Re 0.500 0.500 0.222

=====

18.
DFT (PBE) results for crystalline DyMn5Ge3 at its relaxed geometry.

Its formation energy is -1.71 eV per formula unit.

Cell lengths 3.846, 6.509, 11.466 Å; angles 90.00, 90.00, 107.19 degrees
Fractional positions:
Ge 0.382 0.765 0.936
Mn 0.808 0.616 0.448
Mn 0.000 0.000 0.000
Mn 0.563 0.127 0.643
Mn 0.437 0.873 0.357
Mn 0.000 0.000 0.500
Dy 0.169 0.338 0.250
Ge 0.618 0.235 0.064
Ge 0.618 0.235 0.436
Mn 0.437 0.873 0.143
Ge 0.382 0.765 0.564
Mn 0.192 0.384 0.948
Ge 0.131 0.262 0.750
Dy 0.831 0.662 0.750
Mn 0.192 0.384 0.552
Mn 0.808 0.616 0.052
Ge 0.869 0.738 0.250
Mn 0.563 0.127 0.857

=====

19.
DFT (PBE) results for crystalline LiAl2As2 at its relaxed geometry.

The energy above the most stable polymorph in this dataset comes out at 0.000 eV per atom. Its formation energy is -1.07 eV per formula unit.

Cell lengths 4.095, 4.095, 7.109 Å; angles 73.26, 73.26, 90.00 degrees
Fractional positions:
As 0.630 0.630 0.740
Al 0.250 0.750 0.500
Li 0.000 0.000 0.000
As 0.370 0.370 0.260
Al 0.750 0.250 0.500

=====

20.
DFT (PBE) results for crystalline Sr2Y2Cu2O7 at its relaxed geometry.

The energy relative to the elements, uncorrected comes out at -2338 meV per atom.

Cell lengths 12.989, 12.989, 12.989 Å; angles 156.02, 155.88, 34.28 degrees
Fractional positions:
O 0.363 0.785 0.479
Cu 0.569 0.037 0.469
O 0.807 0.775 0.462
O 0.312 0.280 0.475
Cu 0.431 0.900 0.468
O 0.187 0.155 0.462
Sr 0.369 0.335 0.987
O 0.688 0.163 0.968
O 0.189 0.181 0.870
Sr 0.631 0.618 0.966
Y 0.500 0.468 0.968
O 0.637 0.115 0.421
Y 0.789 0.267 0.556
Y 0.211 0.767 0.478
O 0.813 0.275 0.968
O 0.806 0.285 0.421
O 0.193 0.655 0.968
O 0.194 0.615 0.479
O 0.695 0.663 0.475
Cu 0.068 0.537 0.468
O 0.811 0.681 0.993
Y 0.000 0.968 0.968
Cu 0.932 0.400 0.469
O 0.305 0.780 0.968
Sr 0.848 0.835 0.966
Sr 0.152 0.118 0.987